Below is a relaxed AcTb3Sm6 crystal, with properties calculated at the PBE level.

## Properties
As for the offset from the most stable computed form: 0.95 eV per formula unit. The magnetization comes out at 0.00 μB/cell. As for the density of states at the Fermi level: 63.75 states/eV per cell. The total energy is -4.348 eV per atom. The value obtained for the formation energy is 0.28 eV per atom.

a = 10.0004 Å, b = 10.0004 Å, c = 12.2051 Å
α = 90.00°, β = 90.00°, γ = 120.00°
Space group R3 (No. 146, hexagonal axes)
Inequivalent atoms, fractional coordinates:
Ac  0.0000  0.0000  0.0000 [3 per cell]
Tb  0.0000  0.0000  0.2616 [3 per cell]
Tb  0.0000  0.0000  0.5001 [3 per cell]
Tb  0.0000  0.0000  0.7388 [3 per cell]
Sm  0.9998  0.3404  0.9996 [9 per cell]
Sm  0.0000  0.6696  0.4996 [9 per cell]